<one>
! MnFe2TcH PBE relaxed; values from VASP
! Size of the total moment: 0.00 μB per formula unit
&SYSTEM
  ibrav = 0, nat = 5, ntyp = 4
/
ATOMIC_SPECIES
Mn 54.94 Mn.upf
Fe 55.84 Fe.upf
Tc 98.00 Tc.upf
H 1.01 H.upf
CELL_PARAMETERS angstrom
3.603 0.000 0.000
0.000 3.603 0.000
0.000 0.000 3.665
ATOMIC_POSITIONS crystal
Mn 0.000 0.000 0.000
Fe 0.000 0.500 0.500
Fe 0.500 0.000 0.500
Tc 0.500 0.500 0.000
H 0.000 0.000 0.500

=====

<two>
! MnFe2TcH PBE relaxed; values from VASP
! Size of the total moment: 0.49 μB per formula unit
&SYSTEM
  ibrav = 0, nat = 5, ntyp = 4
/
ATOMIC_SPECIES
Mn 54.94 Mn.upf
Fe 55.84 Fe.upf
Tc 98.00 Tc.upf
H 1.01 H.upf
CELL_PARAMETERS angstrom
3.630 0.000 0.000
0.000 3.630 0.000
0.000 0.000 3.828
ATOMIC_POSITIONS crystal
Mn 0.000 0.000 0.000
Fe 0.000 0.500 0.500
Fe 0.500 0.000 0.500
Tc 0.500 0.500 0.000
H 0.500 0.500 0.500

=====

Pick <two>: it beats the second-best structure by 1.1 kJ/mol of atoms.

=====

<one>
! Ti2MnFeH PBE relaxed; values from VASP
! Size of the total moment: 0.30 μB per formula unit
&SYSTEM
  ibrav = 0, nat = 5, ntyp = 4
/
ATOMIC_SPECIES
Ti 47.87 Ti.upf
Mn 54.94 Mn.upf
Fe 55.84 Fe.upf
H 1.01 H.upf
CELL_PARAMETERS angstrom
4.182 0.000 0.000
0.000 4.182 0.000
0.000 0.000 3.144
ATOMIC_POSITIONS crystal
Ti 0.000 0.500 0.000
Ti 0.500 0.000 0.000
Mn 0.000 0.000 0.500
Fe 0.500 0.500 0.500
H 0.500 0.500 0.000

=====

<two>
! Ti2MnFeH PBE relaxed; values from VASP
! Size of the total moment: 0.39 μB per formula unit
&SYSTEM
  ibrav = 0, nat = 5, ntyp = 4
/
ATOMIC_SPECIES
Ti 47.87 Ti.upf
Mn 54.94 Mn.upf
Fe 55.84 Fe.upf
H 1.01 H.upf
CELL_PARAMETERS angstrom
4.190 0.000 0.000
0.000 4.190 0.000
0.000 0.000 3.139
ATOMIC_POSITIONS crystal
Ti 0.000 0.500 0.000
Ti 0.500 0.000 0.000
Mn 0.000 0.000 0.500
Fe 0.500 0.500 0.500
H 0.000 0.000 0.000

=====

Pick <one>: it beats the second-best structure by 0.5 kJ/mol of atoms.

=====

<one>
! Mn2VFeH PBE relaxed; values from VASP
! Size of the total moment: 4.03 μB per formula unit
&SYSTEM
  ibrav = 0, nat = 5, ntyp = 4
/
ATOMIC_SPECIES
Mn 54.94 Mn.upf
V 50.94 V.upf
Fe 55.84 Fe.upf
H 1.01 H.upf
CELL_PARAMETERS angstrom
3.832 0.000 0.000
0.000 3.832 0.000
0.000 0.000 3.352
ATOMIC_POSITIONS crystal
Mn 0.000 0.500 0.000
Mn 0.500 0.000 0.000
V 0.000 0.000 0.500
Fe 0.500 0.500 0.500
H 0.500 0.500 0.000

=====

<two>
! Mn2VFeH PBE relaxed; values from VASP
! Size of the total moment: 3.41 μB per formula unit
&SYSTEM
  ibrav = 0, nat = 5, ntyp = 4
/
ATOMIC_SPECIES
Mn 54.94 Mn.upf
V 50.94 V.upf
Fe 55.84 Fe.upf
H 1.01 H.upf
CELL_PARAMETERS angstrom
3.569 0.000 0.000
0.000 3.569 0.000
0.000 0.000 3.804
ATOMIC_POSITIONS crystal
Mn 0.000 0.500 0.000
Mn 0.500 0.000 0.000
V 0.000 0.000 0.500
Fe 0.500 0.500 0.500
H 0.000 0.000 0.000

=====

Pick <one>: it beats the second-best structure by 2.8 kJ/mol of atoms.

=====

<one>
! MnZnFe2H PBE relaxed; values from VASP
! Size of the total moment: 7.72 μB per formula unit
&SYSTEM
  ibrav = 0, nat = 5, ntyp = 4
/
ATOMIC_SPECIES
Mn 54.94 Mn.upf
Zn 65.41 Zn.upf
Fe 55.84 Fe.upf
H 1.01 H.upf
CELL_PARAMETERS angstrom
3.604 0.000 0.000
0.000 3.604 0.000
0.000 0.000 4.054
ATOMIC_POSITIONS crystal
Mn 0.000 0.000 0.000
Zn 0.500 0.500 0.000
Fe 0.000 0.500 0.500
Fe 0.500 0.000 0.500
H 0.500 0.500 0.500

=====

<two>
! MnZnFe2H PBE relaxed; values from VASP
! Size of the total moment: 7.63 μB per formula unit
&SYSTEM
  ibrav = 0, nat = 5, ntyp = 4
/
ATOMIC_SPECIES
Mn 54.94 Mn.upf
Zn 65.41 Zn.upf
Fe 55.84 Fe.upf
H 1.01 H.upf
CELL_PARAMETERS angstrom
3.662 0.000 0.000
0.000 3.662 0.000
0.000 0.000 3.866
ATOMIC_POSITIONS crystal
Mn 0.000 0.000 0.000
Zn 0.500 0.500 0.000
Fe 0.000 0.500 0.500
Fe 0.500 0.000 0.500
H 0.000 0.000 0.500

=====

Pick <two>: it beats the second-best structure by 13.0 kJ/mol of atoms.

=====

<one>
! Fe2MoH2 PBE relaxed; values from VASP
! Size of the total moment: 1.05 μB per formula unit
&SYSTEM
  ibrav = 0, nat = 10, ntyp = 3
/
ATOMIC_SPECIES
Fe 55.84 Fe.upf
Mo 95.94 Mo.upf
H 1.01 H.upf
CELL_PARAMETERS angstrom
5.718 0.000 0.000
0.000 5.718 0.000
0.000 0.000 2.702
ATOMIC_POSITIONS crystal
Fe 0.136 0.364 0.000
Fe 0.364 0.864 0.000
Fe 0.636 0.136 0.000
Fe 0.864 0.636 0.000
Mo 0.000 0.000 0.500
Mo 0.500 0.500 0.500
H 0.229 0.729 0.500
H 0.271 0.229 0.500
H 0.729 0.771 0.500
H 0.771 0.271 0.500

=====

<two>
! Fe2MoH2 PBE relaxed; values from VASP
! Size of the total moment: 0.00 μB per formula unit
&SYSTEM
  ibrav = 0, nat = 5, ntyp = 3
/
ATOMIC_SPECIES
Fe 55.84 Fe.upf
Mo 95.94 Mo.upf
H 1.01 H.upf
CELL_PARAMETERS angstrom
-1.882 1.882 3.229
1.882 -1.882 3.229
1.882 1.882 -3.229
ATOMIC_POSITIONS crystal
Fe 0.250 0.750 0.500
Fe 0.750 0.250 0.500
Mo 0.000 0.000 0.000
H 0.302 0.302 0.000
H 0.698 0.698 0.000

=====

Pick <one>: it beats the second-best structure by 2.9 kJ/mol of atoms.

=====

<one>
! FeMo2H PBE relaxed; values from VASP
! Size of the total moment: 0.00 μB per formula unit
&SYSTEM
  ibrav = 0, nat = 4, ntyp = 3
/
ATOMIC_SPECIES
Fe 55.84 Fe.upf
Mo 95.94 Mo.upf
H 1.01 H.upf
CELL_PARAMETERS angstrom
1.746 1.008 5.867
-1.746 1.008 5.867
0.000 -2.016 5.867
ATOMIC_POSITIONS crystal
Fe 0.000 0.000 0.000
Mo 0.399 0.399 0.399
Mo 0.601 0.601 0.601
H 0.500 0.500 0.500

=====

<two>
! FeMo2H PBE relaxed; values from VASP
! Size of the total moment: 0.26 μB per formula unit
&SYSTEM
  ibrav = 0, nat = 4, ntyp = 3
/
ATOMIC_SPECIES
Fe 55.84 Fe.upf
Mo 95.94 Mo.upf
H 1.01 H.upf
CELL_PARAMETERS angstrom
0.000 2.880 2.880
2.880 0.000 2.880
2.880 2.880 0.000
ATOMIC_POSITIONS crystal
Fe 0.000 0.000 0.000
Mo 0.250 0.250 0.250
Mo 0.750 0.750 0.750
H 0.500 0.500 0.500

=====

<three>
! FeMo2H PBE relaxed; values from VASP
! Size of the total moment: 0.00 μB per formula unit
&SYSTEM
  ibrav = 0, nat = 8, ntyp = 3
/
ATOMIC_SPECIES
Fe 55.84 Fe.upf
Mo 95.94 Mo.upf
H 1.01 H.upf
CELL_PARAMETERS angstrom
-2.231 2.231 5.351
2.231 -2.231 5.351
2.231 2.231 -5.351
ATOMIC_POSITIONS crystal
Fe 0.000 0.000 0.000
Fe 0.750 0.250 0.500
Mo 0.224 0.625 0.099
Mo 0.375 0.474 0.599
Mo 0.526 0.125 0.901
Mo 0.875 0.776 0.401
H 0.250 0.750 0.500
H 0.500 0.500 0.000

=====

Pick <two>: it beats the second-best structure by 14.0 kJ/mol of atoms.

=====

<one>
! FeMoH3 PBE relaxed; values from VASP
! Size of the total moment: 0.39 μB per formula unit
&SYSTEM
  ibrav = 0, nat = 5, ntyp = 3
/
ATOMIC_SPECIES
Fe 55.84 Fe.upf
Mo 95.94 Mo.upf
H 1.01 H.upf
CELL_PARAMETERS angstrom
3.225 0.000 0.000
0.000 3.225 0.000
0.000 0.000 3.225
ATOMIC_POSITIONS crystal
Fe 0.000 0.000 0.000
Mo 0.500 0.500 0.500
H 0.000 0.000 0.500
H 0.000 0.500 0.000
H 0.500 0.000 0.000

=====

<two>
! FeMoH3 PBE relaxed; values from VASP
! Size of the total moment: 3.58 μB per formula unit
&SYSTEM
  ibrav = 0, nat = 5, ntyp = 3
/
ATOMIC_SPECIES
Fe 55.84 Fe.upf
Mo 95.94 Mo.upf
H 1.01 H.upf
CELL_PARAMETERS angstrom
3.466 0.000 0.000
0.000 3.466 0.000
0.000 0.000 3.466
ATOMIC_POSITIONS crystal
Fe 0.000 0.000 0.000
Mo 0.500 0.500 0.500
H 0.000 0.500 0.500
H 0.500 0.000 0.500
H 0.500 0.500 0.000

=====

Pick <one>: it beats the second-best structure by 24.2 kJ/mol of atoms.

=====

<one>
! FeNi2MoH PBE relaxed; values from VASP
! Size of the total moment: 2.32 μB per formula unit
&SYSTEM
  ibrav = 0, nat = 5, ntyp = 4
/
ATOMIC_SPECIES
Fe 55.84 Fe.upf
Ni 58.69 Ni.upf
Mo 95.94 Mo.upf
H 1.01 H.upf
CELL_PARAMETERS angstrom
4.543 0.000 0.000
0.000 4.543 0.000
0.000 0.000 4.477
ATOMIC_POSITIONS crystal
Fe 0.000 0.000 0.000
Ni 0.000 0.500 0.500
Ni 0.500 0.000 0.500
Mo 0.000 0.000 0.500
H 0.500 0.500 0.000

=====

<two>
! FeNi2MoH PBE relaxed; values from VASP
! Size of the total moment: 0.07 μB per formula unit
&SYSTEM
  ibrav = 0, nat = 5, ntyp = 4
/
ATOMIC_SPECIES
Fe 55.84 Fe.upf
Ni 58.69 Ni.upf
Mo 95.94 Mo.upf
H 1.01 H.upf
CELL_PARAMETERS angstrom
3.538 0.000 0.000
0.000 3.538 0.000
0.000 0.000 3.991
ATOMIC_POSITIONS crystal
Fe 0.000 0.000 0.000
Ni 0.000 0.500 0.500
Ni 0.500 0.000 0.500
Mo 0.500 0.500 0.000
H 0.500 0.500 0.500

=====

Pick <two>: it beats the second-best structure by 182.1 kJ/mol of atoms.